# 1
{"formula": "NaMg2ZrV", "functional": "GGA-PBE", "state": "optimized geometry", "delta_e_f_mev_per_atom": 1146, "cell": [[4.803, 0.000, 0.000], [0.000, 4.975, 0.000], [0.000, 0.000, 4.803]], "species": ["Mg", "Mg", "Na", "V", "Zr"], "fractional_positions": [[0.500, 0.000, 0.000], [0.000, 0.000, 0.500], [0.000, 0.000, 0.000], [0.000, 0.500, 0.000], [0.500, 0.500, 0.500]]}

=====

# 2
{"formula": "CsScGa2N", "functional": "GGA-PBE", "state": "optimized geometry", "e_form_raw_ev_per_atom": 1.631, "cell": [[5.793, 0.000, 0.000], [0.000, 4.302, 0.000], [0.000, 0.000, 5.793]], "species": ["Ga", "Ga", "Sc", "N", "Cs"], "fractional_positions": [[0.500, 0.000, 0.000], [0.000, 0.000, 0.500], [0.500, 0.500, 0.500], [0.000, 0.500, 0.000], [0.000, 0.000, 0.000]]}

=====

no.,total magnetization (μB per atom)
1,0.6302
2,0.0009